No. 1
This record from Alexandria via LeMat-Bulk describes a PBEsol-optimized structure of CaZnI2O. The functional is meta-GGA SCAN.

a = 3.754 Å, b = 5.671 Å, c = 5.671 Å
α = 90.00°, β = 90.00°, γ = 90.00°
Fractional coordinates of all 5 atoms:
1 I 0.000 0.000 0.500
2 I 0.000 0.500 0.000
3 Zn 0.000 0.000 0.000
4 Ca 0.500 0.500 0.500
5 O 0.500 0.000 0.000

Output
Calculated volume (Å³/cell): 120.74
Total magnetization (μB/cell): 0.1
Energy (eV/atom): -21.60
Formation energy from raw total energies (meV/atom): -1021

=====

No. 2
This record from Alexandria via LeMat-Bulk describes a PBEsol-optimized structure of Cs3ErO3. The functional is meta-GGA SCAN.

a = 7.400 Å, b = 7.400 Å, c = 7.520 Å
α = 95.85°, β = 95.85°, γ = 116.41°
Fractional coordinates of all 14 atoms:
1 Er 0.829 0.829 0.848
2 Er 0.171 0.171 0.152
3 O 0.895 0.895 0.139
4 O 0.565 0.838 0.732
5 O 0.105 0.105 0.861
6 O 0.435 0.162 0.268
7 O 0.838 0.565 0.732
8 O 0.162 0.435 0.268
9 Cs 0.262 0.738 0.000
10 Cs 0.211 0.789 0.500
11 Cs 0.738 0.262 0.000
12 Cs 0.789 0.211 0.500
13 Cs 0.643 0.643 0.353
14 Cs 0.357 0.357 0.647

Output
Calculated volume (Å³/cell): 361.81
Total magnetization (μB/cell): 0.2
Energy (eV/atom): -28.23
Formation energy from raw total energies (meV/atom): -2164

=====

No. 3
This record from Alexandria via LeMat-Bulk describes a PBEsol-optimized structure of Y2ZnSnB. The functional is meta-GGA SCAN.

a = 4.059 Å, b = 5.058 Å, c = 5.058 Å
α = 90.00°, β = 90.00°, γ = 90.00°
Fractional coordinates of all 5 atoms:
1 Y 0.000 0.500 0.000
2 Y 0.000 0.000 0.500
3 B 0.000 0.000 0.000
4 Zn 0.500 0.000 0.000
5 Sn 0.500 0.500 0.500

Output
Calculated volume (Å³/cell): 103.83
Total magnetization (μB/cell): 0.0
Energy (eV/atom): -22.98
Formation energy (eV/atom): -0.47

=====

No. 4
This record from Alexandria via LeMat-Bulk describes a PBEsol-optimized structure of NaSbTe2Br. The functional is meta-GGA SCAN.

a = 5.284 Å, b = 5.284 Å, c = 5.571 Å
α = 90.00°, β = 90.00°, γ = 90.00°
Fractional coordinates of all 5 atoms:
1 Sb 0.000 0.000 0.500
2 Na 0.000 0.000 0.000
3 Te 0.000 0.500 0.000
4 Te 0.500 0.000 0.000
5 Br 0.500 0.500 0.500

Output
Calculated volume (Å³/cell): 155.56
Total magnetization (μB/cell): 0.0
Energy (eV/atom): -26.47
Formation energy from raw total energies (meV/atom): 614

=====

No. 5
This record from Alexandria via LeMat-Bulk describes a PBEsol-optimized structure of SrYMo4. The functional is meta-GGA SCAN.

a = 5.508 Å, b = 5.508 Å, c = 5.508 Å
α = 60.00°, β = 60.00°, γ = 60.00°
Fractional coordinates of all 6 atoms:
1 Sr 0.750 0.750 0.750
2 Y 0.000 0.000 0.000
3 Mo 0.375 0.375 0.875
4 Mo 0.875 0.375 0.375
5 Mo 0.375 0.875 0.375
6 Mo 0.375 0.375 0.375

Output
Calculated volume (Å³/cell): 118.18
Total magnetization (μB/cell): 0.0
Energy (eV/atom): -31.06
Formation energy (eV/atom): 0.55

=====

No. 6
This record from Alexandria via LeMat-Bulk describes a PBEsol-optimized structure of HIrSe2N. The functional is meta-GGA SCAN.

a = 2.744 Å, b = 4.653 Å, c = 4.653 Å
α = 90.00°, β = 90.00°, γ = 90.00°
Fractional coordinates of all 5 atoms:
1 Ir 0.500 0.500 0.500
2 H 0.000 0.000 0.000
3 Se 0.000 0.500 0.000
4 Se 0.000 0.000 0.500
5 N 0.500 0.000 0.000

Output
Calculated volume (Å³/cell): 59.42
Total magnetization (μB/cell): 0.0
Energy (eV/atom): -23.56

=====

No. 7
This record from Alexandria via LeMat-Bulk describes a PBEsol-optimized structure of LiMg3Pt. The functional is meta-GGA SCAN.

a = 4.991 Å, b = 4.991 Å, c = 4.991 Å
α = 90.00°, β = 90.00°, γ = 90.00°
Fractional coordinates of all 5 atoms:
1 Mg 0.000 0.000 0.500
2 Mg 0.000 0.500 0.000
3 Mg 0.500 0.000 0.000
4 Li 0.500 0.500 0.500
5 Pt 0.000 0.000 0.000

Output
Calculated volume (Å³/cell): 124.35
Total magnetization (μB/cell): 0.0
Energy (eV/atom): -17.90
Formation energy (eV/atom): -0.40

=====

No. 8
This record from Alexandria via LeMat-Bulk describes a PBEsol-optimized structure of CdTeMo. The functional is meta-GGA SCAN.

a = 3.269 Å, b = 3.269 Å, c = 6.911 Å
α = 90.00°, β = 90.00°, γ = 120.00°
Fractional coordinates of all 3 atoms:
1 Te 0.667 0.333 0.383
2 Cd 0.000 0.000 0.967
3 Mo 0.333 0.667 0.650

Output
Calculated volume (Å³/cell): 63.97
Total magnetization (μB/cell): 0.0
Energy (eV/atom): -33.94
Formation energy from raw total energies (meV/atom): 240

=====

No. 9
This record from Alexandria via LeMat-Bulk describes a PBEsol-optimized structure of Li2SiPb. The functional is meta-GGA SCAN.

a = 3.128 Å, b = 4.854 Å, c = 5.184 Å
α = 97.84°, β = 107.56°, γ = 90.00°
Fractional coordinates of all 4 atoms:
1 Li 0.251 0.754 0.503
2 Li 0.010 0.016 0.021
3 Pb 0.497 0.504 0.994
4 Si 0.741 0.226 0.482

Output
Calculated volume (Å³/cell): 74.26
Total magnetization (μB/cell): 0.0
Energy (eV/atom): -22.69
Formation energy from raw total energies (meV/atom): -41

=====

No. 10
This record from Alexandria via LeMat-Bulk describes a PBEsol-optimized structure of AgPt3W. The functional is meta-GGA SCAN.

a = 4.778 Å, b = 4.778 Å, c = 4.778 Å
α = 90.00°, β = 90.00°, γ = 90.00°
Fractional coordinates of all 5 atoms:
1 W 0.000 0.000 0.000
2 Pt 0.500 0.000 0.000
3 Pt 0.000 0.500 0.000
4 Pt 0.000 0.000 0.500
5 Ag 0.500 0.500 0.500

Output
Calculated volume (Å³/cell): 109.05
Total magnetization (μB/cell): 0.0
Energy (eV/atom): -61.20
Formation energy (eV/atom): 1.12

=====

No. 11
This record from Alexandria via LeMat-Bulk describes a PBEsol-optimized structure of BaAlAs2Se. The functional is meta-GGA SCAN.

a = 4.906 Å, b = 4.906 Å, c = 5.159 Å
α = 90.00°, β = 90.00°, γ = 90.00°
Fractional coordinates of all 5 atoms:
1 Ba 0.500 0.500 0.500
2 As 0.000 0.500 0.000
3 As 0.500 0.000 0.000
4 Al 0.000 0.000 0.000
5 Se 0.000 0.000 0.500

Output
Calculated volume (Å³/cell): 124.18
Total magnetization (μB/cell): 0.0
Energy (eV/atom): -22.14
Formation energy from raw total energies (meV/atom): -584

=====

No. 12
This record from Alexandria via LeMat-Bulk describes a PBEsol-optimized structure of Al2AsRu. The functional is meta-GGA SCAN.

a = 3.184 Å, b = 4.301 Å, c = 4.301 Å
α = 90.00°, β = 90.00°, γ = 90.00°
Fractional coordinates of all 4 atoms:
1 Al 0.000 0.000 0.500
2 Al 0.000 0.500 0.000
3 As 0.500 0.500 0.500
4 Ru 0.500 0.000 0.000

Output
Calculated volume (Å³/cell): 58.89
Total magnetization (μB/cell): 0.0
Energy (eV/atom): -17.90
Formation energy (eV/atom): -0.27

=====

No. 13
This record from Alexandria via LeMat-Bulk describes a PBEsol-optimized structure of K2YCr. The functional is meta-GGA SCAN.

a = 3.506 Å, b = 5.866 Å, c = 6.641 Å
α = 90.00°, β = 90.00°, γ = 92.81°
Last column: magnetic moment on the atom in μB.
Fractional coordinates of all 4 atoms:
1 K 0.263 0.236 0.000  -0.01
2 K 0.737 0.764 0.000  -0.01
3 Cr 0.500 0.000 0.500  4.11
4 Y 0.000 0.500 0.500  -0.05

Output
Calculated volume (Å³/cell): 136.41
Total magnetization (μB/cell): 4.6
Energy (eV/atom): -15.02
Formation energy (eV/atom): 0.70

=====

No. 14
This record from Alexandria via LeMat-Bulk describes a PBEsol-optimized structure of GeAu3I. The functional is meta-GGA SCAN.

a = 5.205 Å, b = 5.205 Å, c = 5.205 Å
α = 90.00°, β = 90.00°, γ = 90.00°
Fractional coordinates of all 5 atoms:
1 Au 0.000 0.000 0.500
2 Au 0.500 0.000 0.000
3 Au 0.000 0.500 0.000
4 Ge 0.500 0.500 0.500
5 I 0.000 0.000 0.000

Output
Calculated volume (Å³/cell): 141.01
Total magnetization (μB/cell): 0.0
Energy (eV/atom): -51.51
Formation energy from raw total energies (meV/atom): 1150

=====

No. 15
This record from Alexandria via LeMat-Bulk describes a PBEsol-optimized structure of SrCd. The functional is meta-GGA SCAN.

a = 3.858 Å, b = 5.679 Å, c = 6.419 Å
α = 109.49°, β = 107.49°, γ = 90.00°
Fractional coordinates of all 4 atoms:
1 Cd 0.845 0.629 0.691
2 Cd 0.155 0.371 0.309
3 Sr 0.399 0.174 0.798
4 Sr 0.601 0.826 0.202

Output
Calculated volume (Å³/cell): 125.66
Total magnetization (μB/cell): 0.0
Energy (eV/atom): -26.66
Formation energy (eV/atom): -0.31

=====

No. 16
This record from Alexandria via LeMat-Bulk describes a PBEsol-optimized structure of Y2MnMo. The functional is meta-GGA SCAN.

a = 4.269 Å, b = 4.269 Å, c = 5.451 Å
α = 113.06°, β = 113.06°, γ = 90.00°
Last column: magnetic moment on the atom in μB.
Fractional coordinates of all 4 atoms:
1 Y 0.750 0.250 0.500  0.03
2 Y 0.000 0.000 0.000  -0.03
3 Mo 0.250 0.750 0.500  0.27
4 Mn 0.500 0.500 0.000  4.04

Output
Calculated volume (Å³/cell): 82.73
Total magnetization (μB/cell): 4.6
Energy (eV/atom): -26.83
Formation energy (eV/atom): 0.37

=====

No. 17
This record from Alexandria via LeMat-Bulk describes a PBEsol-optimized structure of AgSbPt. The functional is meta-GGA SCAN.

a = 4.426 Å, b = 4.426 Å, c = 4.426 Å
α = 60.00°, β = 60.00°, γ = 60.00°
Fractional coordinates of all 3 atoms:
1 Ag 0.500 0.500 0.500
2 Pt 0.250 0.250 0.250
3 Sb 0.000 0.000 0.000

Output
Calculated volume (Å³/cell): 61.31
Total magnetization (μB/cell): 0.0
Energy (eV/atom): -46.52
Formation energy from raw total energies (meV/atom): -245

=====

No. 18
This record from Alexandria via LeMat-Bulk describes a PBEsol-optimized structure of RbLaTa2Ru. The functional is meta-GGA SCAN.

a = 4.815 Å, b = 4.815 Å, c = 5.677 Å
α = 90.00°, β = 90.00°, γ = 90.00°
Fractional coordinates of all 5 atoms:
1 Rb 0.000 0.000 0.500
2 Ru 0.000 0.000 0.000
3 Ta 0.000 0.500 0.000
4 Ta 0.500 0.000 0.000
5 La 0.500 0.500 0.500

Output
Calculated volume (Å³/cell): 131.60
Total magnetization (μB/cell): 0.0
Energy (eV/atom): -45.18
Formation energy (eV/atom): 1.19

=====

No. 19
This record from Alexandria via LeMat-Bulk describes a PBEsol-optimized structure of Li2PbSe. The functional is meta-GGA SCAN.

a = 3.548 Å, b = 3.593 Å, c = 6.164 Å
α = 90.00°, β = 92.08°, γ = 90.00°
Fractional coordinates of all 4 atoms:
1 Li 0.019 0.000 0.304
2 Li 0.981 0.000 0.696
3 Pb 0.500 0.500 0.000
4 Se 0.500 0.500 0.500

Output
Calculated volume (Å³/cell): 78.52
Total magnetization (μB/cell): 0.0
Energy (eV/atom): -25.89
Formation energy from raw total energies (meV/atom): -729

=====

No. 20
This record from Alexandria via LeMat-Bulk describes a PBEsol-optimized structure of AlNiP2. The functional is meta-GGA SCAN.

a = 3.719 Å, b = 4.135 Å, c = 4.135 Å
α = 105.88°, β = 104.76°, γ = 104.76°
Fractional coordinates of all 4 atoms:
1 Ni 0.500 0.500 0.500
2 P 0.000 0.000 0.500
3 P 0.000 0.500 0.000
4 Al 0.500 0.000 0.000

Output
Calculated volume (Å³/cell): 55.43
Total magnetization (μB/cell): 0.0
Energy (eV/atom): -11.18
Formation energy (eV/atom): 0.01